No. 1
Here is Cs2ErB2S6 after structural relaxation from Alexandria via LeMat-Bulk. Energies are from PBE.

Energy relative to the elements, uncorrected, eV/f.u.: -10.75
Space-group type: C2/m
Electronic total energy, eV per cell: -55.142

Cell: 6.7529 6.7553 8.8599 Å, 112.33 90.00 119.99°
Fractional coordinates of all 11 atoms:
Cs: 0.7091 0.4182 0.1280
Cs: 0.2909 0.5818 0.8720
Er: 0.5000 0.0000 0.5000
B: 0.9011 0.8023 0.7020
B: 0.0989 0.1977 0.2980
S: 0.7511 0.5021 0.7164
S: 0.2482 0.0319 0.2816
S: 0.2163 0.9681 0.7184
S: 0.7518 0.9681 0.7184
S: 0.7837 0.0319 0.2816
S: 0.2489 0.4979 0.2836

=====

No. 2
Here is LaCu2Re after structural relaxation from Alexandria via LeMat-Bulk. Energies are from PBE.

Formation energy from the elements, eV/atom: 0.41
Space-group type: Pmm2
ΔE to the lowest computed polymorph, eV/f.u.: 0.149
Electronic total energy, eV per cell: -23.942

Cell: 2.8648 3.4712 7.0737 Å, 90.00 90.00 90.00°
Fractional coordinates of all 4 atoms:
Cu: 0.0000 0.0000 0.0066
Cu: 0.5000 0.5000 0.1799
La: 0.0000 0.0000 0.5028
Re: 0.5000 0.5000 0.8107

=====

No. 3
Here is Be4Au5 after structural relaxation from Alexandria via LeMat-Bulk. Energies are from PBE.

Formation energy from the elements, eV/atom: -0.06
Space-group type: Immm
Electronic total energy, eV per cell: -31.865

Cell: 2.9090 6.7554 6.7554 Å, 77.24 77.57 77.57°
Fractional coordinates of all 9 atoms:
Be: 0.3364 0.6360 0.6912
Be: 0.3364 0.0246 0.3027
Be: 0.6636 0.6973 0.9754
Be: 0.6636 0.3088 0.3640
Au: 0.0000 0.9960 0.0040
Au: 0.0000 0.3374 0.6626
Au: 0.0000 0.6667 0.3333
Au: 0.2800 0.3867 0.0534
Au: 0.7200 0.9466 0.6133

=====

No. 4
Here is RbTl2CdCl5 after structural relaxation from Alexandria via LeMat-Bulk. Energies are from PBE.

Energy relative to the elements, uncorrected, eV/f.u.: -11.18
Space-group type: Immm
Electronic total energy, eV per cell: -27.029

Cell: 5.1757 7.5089 8.9128 Å, 114.91 106.88 90.00°
Fractional coordinates of all 9 atoms:
Rb: 0.0000 0.5000 0.0000
Tl: 0.2076 0.2076 0.4153
Tl: 0.7924 0.7924 0.5847
Cd: 0.5000 0.0000 0.0000
Cl: 0.6250 0.8782 0.2500
Cl: 0.3750 0.1218 0.7500
Cl: 0.3750 0.6282 0.7500
Cl: 0.6250 0.3718 0.2500
Cl: 0.0000 0.0000 0.0000

=====

No. 5
Here is LiZnCr2 after structural relaxation from Alexandria via LeMat-Bulk. Energies are from PBE.

Formation energy from the elements, eV/atom: 0.27
Space-group type: F-43m
ΔE to the lowest computed polymorph, eV/f.u.: 0.391
Electronic total energy, eV per cell: -21.344

Cell: 4.2905 4.2905 4.2905 Å, 60.00 60.00 60.00°
Each line ends with the local moment (μB).
Fractional coordinates of all 4 atoms:
Cr: 0.0000 0.0000 0.0000  2.94
Cr: 0.7500 0.7500 0.7500  -3.04
Li: 0.5000 0.5000 0.5000  -0.03
Zn: 0.2500 0.2500 0.2500  0.03

=====

No. 6
Here is YMg2Os after structural relaxation from Alexandria via LeMat-Bulk. Energies are from PBE.

Formation energy from the elements, eV/atom: 0.10
Space-group type: Cm
ΔE to the lowest computed polymorph, eV/f.u.: 0.482
Electronic total energy, eV per cell: -20.463

Cell: 5.3275 5.3275 6.1077 Å, 60.10 60.10 37.80°
Fractional coordinates of all 4 atoms:
Mg: 0.0252 0.0252 0.0005
Mg: 0.8074 0.8074 0.7731
Os: 0.4697 0.4697 0.3751
Y: 0.1977 0.1977 0.3513

=====

No. 7
Here is UZnGeO6 after structural relaxation from Alexandria via LeMat-Bulk. Energies are from PBE.

Energy relative to the elements, uncorrected, eV/f.u.: -18.54
Space-group type: P-31c
Electronic total energy, eV per cell: -130.942

Cell: 5.2585 5.2585 9.0706 Å, 90.00 90.00 120.00°
Fractional coordinates of all 18 atoms:
U: 0.3333 0.6667 0.2500
U: 0.6667 0.3333 0.7500
Zn: 0.0000 0.0000 0.0000
Zn: 0.0000 0.0000 0.5000
Ge: 0.6667 0.3333 0.2500
Ge: 0.3333 0.6667 0.7500
O: 0.6654 0.6410 0.1335
O: 0.9755 0.3346 0.1335
O: 0.3346 0.9755 0.6335
O: 0.0245 0.6654 0.8665
O: 0.3590 0.3346 0.3665
O: 0.9755 0.6410 0.3665
O: 0.6410 0.9755 0.8665
O: 0.6654 0.0245 0.3665
O: 0.0245 0.3590 0.6335
O: 0.3590 0.0245 0.1335
O: 0.6410 0.6654 0.6335
O: 0.3346 0.3590 0.8665

=====

No. 8
Here is Pu2Al5Cu2Pd after structural relaxation from Alexandria via LeMat-Bulk. Energies are from PBE.

Formation energy from the elements, eV/atom: -0.33
Space-group type: P4/mbm
Electronic total energy, eV per cell: -128.158

Cell: 2.8998 10.8849 10.8849 Å, 90.00 90.00 90.00°
Each line ends with the local moment (μB).
Fractional coordinates of all 20 atoms:
Pu: 0.0000 0.6757 0.1757  5.37
Pu: 0.0000 0.3243 0.8243  5.37
Pu: 0.0000 0.1757 0.3243  5.37
Pu: 0.0000 0.8243 0.6757  5.37
Al: 0.5000 0.1936 0.0548  -0.01
Al: 0.5000 0.8064 0.9452  -0.01
Al: 0.5000 0.0548 0.8064  -0.01
Al: 0.5000 0.6936 0.4452  -0.01
Al: 0.5000 0.9452 0.1936  -0.01
Al: 0.5000 0.3064 0.5548  -0.01
Al: 0.5000 0.5548 0.6936  -0.01
Al: 0.5000 0.4452 0.3064  -0.01
Al: 0.5000 0.5000 0.0000  0.00
Al: 0.5000 0.0000 0.5000  0.00
Cu: 0.0000 0.1320 0.6320  0.01
Cu: 0.0000 0.8680 0.3680  0.01
Cu: 0.0000 0.6320 0.8680  0.01
Cu: 0.0000 0.3680 0.1320  0.01
Pd: 0.0000 0.0000 0.0000  -0.01
Pd: 0.0000 0.5000 0.5000  -0.01

=====

No. 9
Here is CoSiTeI2 after structural relaxation from Alexandria via LeMat-Bulk. Energies are from PBE.

Energy relative to the elements, uncorrected, eV/f.u.: 3.25
Space-group type: P4/mmm
ΔE to the lowest computed polymorph, eV/f.u.: 0.000
Electronic total energy, eV per cell: -15.520

Cell: 5.2077 5.2077 5.0271 Å, 90.00 90.00 90.00°
Each line ends with the local moment (μB).
Fractional coordinates of all 5 atoms:
I: 0.0000 0.5000 0.0000  0.02
I: 0.5000 0.0000 0.0000  0.02
Si: 0.5000 0.5000 0.5000  -0.03
Te: 0.0000 0.0000 0.5000  0.02
Co: 0.0000 0.0000 0.0000  0.56

=====

No. 10
Here is ErScTlRh after structural relaxation from Alexandria via LeMat-Bulk. Energies are from PBE.

Formation energy from the elements, eV/atom: -0.50
Space-group type: F-43m
ΔE to the lowest computed polymorph, eV/f.u.: 0.528
Electronic total energy, eV per cell: -22.623

Cell: 4.9560 4.9560 4.9560 Å, 60.00 60.00 60.00°
Fractional coordinates of all 4 atoms:
Sc: 0.0000 0.0000 0.0000
Tl: 0.2500 0.2500 0.2500
Rh: 0.7500 0.7500 0.7500
Er: 0.5000 0.5000 0.5000

=====

No. 11
Here is LaB5HO10 after structural relaxation from Alexandria via LeMat-Bulk. Energies are from PBE.

Space-group type: P2_1/c
Electronic total energy, eV per cell: -526.809

Cell: 6.5689 10.5942 10.2359 Å, 90.00 90.00 100.52°
Each line ends with the local moment (μB).
Fractional coordinates of all 68 atoms:
La: 0.8622 0.6338 0.3582  -0.01
La: 0.1378 0.3662 0.6418  -0.01
La: 0.6378 0.8662 0.8582  -0.01
La: 0.3622 0.1338 0.1418  -0.01
B: 0.2202 0.6586 0.8367  0.00
B: 0.7798 0.3414 0.1633  0.00
B: 0.2798 0.8414 0.3367  0.00
B: 0.7202 0.1586 0.6633  0.00
B: 0.1491 0.8938 0.8652  0.00
B: 0.8509 0.1062 0.1348  0.00
B: 0.3509 0.6062 0.3652  0.00
B: 0.6491 0.3938 0.6348  0.00
B: 0.9318 0.9279 0.2781  0.00
B: 0.0682 0.0721 0.7219  0.00
B: 0.5682 0.5721 0.7781  0.00
B: 0.4318 0.4279 0.2219  0.00
B: 0.4908 0.7841 0.5187  -0.02
B: 0.5092 0.2159 0.4813  -0.02
B: 0.0092 0.7159 0.0187  -0.02
B: 0.9908 0.2841 0.9813  -0.02
B: 0.9148 0.6047 0.6721  0.00
B: 0.0852 0.3953 0.3279  0.00
B: 0.5852 0.8953 0.1721  0.00
B: 0.4148 0.1047 0.8279  0.00
H: 0.0720 0.7836 0.6120  0.00
H: 0.9280 0.2164 0.3880  0.00
H: 0.4280 0.7164 0.1120  0.00
H: 0.5720 0.2836 0.8880  0.00
O: 0.0091 0.9522 0.7754  0.01
O: 0.9909 0.0478 0.2246  0.01
O: 0.4909 0.5478 0.2754  0.01
O: 0.5091 0.4522 0.7246  0.01
O: 0.6213 0.8343 0.6177  0.50
O: 0.3787 0.1657 0.3823  0.50
O: 0.8787 0.6657 0.1177  0.50
O: 0.1213 0.3343 0.8823  0.50
O: 0.9775 0.7091 0.5777  0.05
O: 0.0225 0.2909 0.4223  0.05
O: 0.5225 0.7909 0.0777  0.05
O: 0.4775 0.2091 0.9223  0.05
O: 0.2416 0.7955 0.7993  0.04
O: 0.7584 0.2045 0.2007  0.04
O: 0.2584 0.7045 0.2993  0.04
O: 0.7416 0.2955 0.7007  0.04
O: 0.0047 0.8384 0.9717  0.01
O: 0.9953 0.1616 0.0283  0.01
O: 0.4953 0.6616 0.4717  0.01
O: 0.5047 0.3384 0.5283  0.01
O: 0.1360 0.6389 0.9700  0.12
O: 0.8640 0.3611 0.0300  0.12
O: 0.3640 0.8611 0.4700  0.12
O: 0.6360 0.1389 0.5300  0.12
O: 0.7672 0.6405 0.7686  0.04
O: 0.2328 0.3595 0.2314  0.04
O: 0.7328 0.8595 0.2686  0.04
O: 0.2672 0.1405 0.7314  0.04
O: 0.3206 0.9946 0.9112  0.01
O: 0.6794 0.0054 0.0888  0.01
O: 0.1794 0.5054 0.4112  0.01
O: 0.8206 0.4946 0.5888  0.01
O: 0.0998 0.5731 0.7394  0.10
O: 0.9002 0.4269 0.2606  0.10
O: 0.4002 0.9269 0.2394  0.10
O: 0.5998 0.0731 0.7606  0.10
O: 0.0640 0.8641 0.3433  0.02
O: 0.9360 0.1359 0.6567  0.02
O: 0.4360 0.6359 0.8433  0.02
O: 0.5640 0.3641 0.1567  0.02

=====

No. 12
Here is KAcAg2F8 after structural relaxation from Alexandria via LeMat-Bulk. Energies are from PBE.

Energy relative to the elements, uncorrected, eV/f.u.: -28.62
Space-group type: I-4
Electronic total energy, eV per cell: -54.499

Cell: 6.2140 6.2140 6.8582 Å, 116.94 116.94 90.00°
Each line ends with the local moment (μB).
Fractional coordinates of all 12 atoms:
K: 0.0000 0.0000 0.0000  0.00
Ac: 0.7500 0.2500 0.5000  0.02
Ag: 0.5000 0.5000 0.0000  0.54
Ag: 0.2500 0.7500 0.5000  0.55
F: 0.6520 0.8586 0.0851  0.11
F: 0.4331 0.2265 0.0851  0.11
F: 0.5834 0.6277 0.5655  0.10
F: 0.9821 0.9378 0.5655  0.10
F: 0.0622 0.4166 0.4345  0.10
F: 0.3723 0.0179 0.4345  0.10
F: 0.1414 0.5669 0.9149  0.11
F: 0.7735 0.3480 0.9149  0.11

=====

No. 13
Here is CeSmSnHg after structural relaxation from Alexandria via LeMat-Bulk. Energies are from PBE.

Formation energy from the elements, eV/atom: -0.51
Space-group type: F-43m
ΔE to the lowest computed polymorph, eV/f.u.: 0.000
Electronic total energy, eV per cell: -17.014

Cell: 5.4162 5.4162 5.4162 Å, 60.00 60.00 60.00°
Each line ends with the local moment (μB).
Fractional coordinates of all 4 atoms:
Ce: 0.7500 0.7500 0.7500  0.87
Hg: 0.5000 0.5000 0.5000  0.01
Sm: 0.2500 0.2500 0.2500  0.07
Sn: 0.0000 0.0000 0.0000  -0.01

=====

No. 14
Here is ErGa4Co3 after structural relaxation from Alexandria via LeMat-Bulk. Energies are from PBE.

Formation energy from the elements, eV/atom: -0.11
Space-group type: Cmmm
Electronic total energy, eV per cell: -38.845

Cell: 4.7629 4.7629 6.2778 Å, 90.00 90.00 65.18°
Each line ends with the local moment (μB).
Fractional coordinates of all 8 atoms:
Co: 0.0000 0.0000 0.0000  0.55
Co: 0.5000 0.5000 0.1829  1.21
Co: 0.5000 0.5000 0.8171  1.21
Ga: 0.0000 0.5000 0.2090  0.00
Ga: 0.0000 0.5000 0.7910  0.00
Ga: 0.5000 0.0000 0.7910  0.00
Ga: 0.5000 0.0000 0.2090  0.00
Er: 0.0000 0.0000 0.5000  0.00

=====

No. 15
Here is LiPrZnIr after structural relaxation from Alexandria via LeMat-Bulk. Energies are from PBE.

Formation energy from the elements, eV/atom: -0.38
Space-group type: R3m
ΔE to the lowest computed polymorph, eV/f.u.: 0.000
Electronic total energy, eV per cell: -18.367

Cell: 4.4271 4.4235 5.3847 Å, 114.22 90.00 120.03°
Fractional coordinates of all 4 atoms:
Li: 0.8259 0.6517 0.1197
Pr: 0.6252 0.2504 0.5178
Zn: 0.1036 0.2071 0.9529
Ir: 0.4117 0.8233 0.8770

=====

No. 16
Here is Zr6AlS after structural relaxation from Alexandria via LeMat-Bulk. Energies are from PBE.

Energy relative to the elements, uncorrected, eV/f.u.: -3.37
Space-group type: P-1
Electronic total energy, eV per cell: -62.532

Cell: 5.6586 5.6624 5.6614 Å, 80.46 99.50 80.38°
Fractional coordinates of all 8 atoms:
Zr: 0.0696 0.3950 0.7675
Zr: 0.7674 0.9304 0.6051
Zr: 0.6049 0.2327 0.0702
Zr: 0.2326 0.0696 0.3949
Zr: 0.9304 0.6050 0.2325
Zr: 0.3951 0.7673 0.9298
Al: 0.5000 0.5000 0.5000
S: 0.0000 0.0000 0.0000